# 1
# SmHo5Al6, relaxed, DFT PBE-GGA
data_SmHo5Al6
_space_group_name_H-M_alt 'P 1 2/m 1'
_space_group_IT_number 10
_cell_length_a 5.0819
_cell_length_b 7.2103
_cell_length_c 8.0349
_cell_angle_alpha 90.00
_cell_angle_beta 108.26
_cell_angle_gamma 90.00
loop_
_space_group_symop_operation_xyz
'x,y,z'
'-x,-y,-z'
'-x,y,-z'
'x,-y,z'
loop_
_atom_site_label
_atom_site_type_symbol
_atom_site_fract_x
_atom_site_fract_y
_atom_site_fract_z
_atom_site_occupancy
Sm1 Sm 0.0000 0.0000 0.0000 1
Ho1 Ho 0.0000 0.5000 0.0000 1
Ho2 Ho 0.3326 0.0000 0.6652 1
Ho3 Ho 0.3352 0.5000 0.6703 1
Al1 Al 0.1686 0.2542 0.3374 1
Al2 Al 0.5000 0.2530 0.0000 1
# Total energy (eV per cell): -54.768
# Total magnetic moment (μB/cell): 0.0
# E_form (eV per atom): -0.392

---

# 2
# Pu6CN2O3, relaxed, DFT PBE-GGA
data_Pu6CN2O3
_space_group_name_H-M_alt 'C 1 2/m 1'
_space_group_IT_number 12
_cell_length_a 15.1631
_cell_length_b 3.4923
_cell_length_c 6.9900
_cell_angle_alpha 90.00
_cell_angle_beta 102.96
_cell_angle_gamma 90.00
loop_
_space_group_symop_operation_xyz
'x,y,z'
'-x,-y,-z'
'-x,y,-z'
'x,-y,z'
'x+1/2,y+1/2,z'
'-x+1/2,-y+1/2,-z'
'-x+1/2,y+1/2,-z'
'x+1/2,-y+1/2,z'
loop_
_atom_site_label
_atom_site_type_symbol
_atom_site_fract_x
_atom_site_fract_y
_atom_site_fract_z
_atom_site_occupancy
Pu1 Pu 0.0013 0.0000 0.2500 1
Pu2 Pu 0.1671 0.5000 0.5800 1
Pu3 Pu 0.1676 0.5000 0.0843 1
C1 C 0.0000 0.5000 0.0000 1
N1 N 0.1683 0.0000 0.3442 1
O1 O 0.0000 0.5000 0.5000 1
O2 O 0.1658 0.0000 0.8345 1
# Total energy (eV per cell): -293.575
# Total magnetic moment (μB/cell): 18.7
# ΔE_f (raw) (meV per atom): -1671